The following is a DFT calculation (PBE) of a geometry-optimized Mg2Ga2Os structure.

Lattice parameters (Å, degrees): 6.7111 6.7111 3.7755 90.00 90.00 90.00
With the nearest neighbours (Å) after each atom.
Element x y z (fractional)
Mg: 0.6724 0.8276 0.5000  6 Ga 2.62-2.81
Mg: 0.3276 0.1724 0.5000  6 Ga 2.62-2.81
Mg: 0.8276 0.3276 0.5000  6 Ga 2.62-2.81
Mg: 0.1724 0.6724 0.5000  6 Ga 2.62-2.81
Ga: 0.3634 0.8634 0.0000  1 Ga 2.59, 2 Os 2.61, 6 Mg 2.62-2.81
Ga: 0.6366 0.1366 0.0000  1 Ga 2.59, 2 Os 2.61, 6 Mg 2.62-2.81
Ga: 0.1366 0.3634 0.0000  1 Ga 2.59, 2 Os 2.61, 6 Mg 2.62-2.81
Ga: 0.8634 0.6366 0.0000  1 Ga 2.59, 2 Os 2.61, 6 Mg 2.62-2.81
Os: 0.0000 0.0000 0.0000  4 Ga 2.61
Os: 0.5000 0.5000 0.0000  4 Ga 2.61

Values from the calculation:
VASP energy   -4.041 eV/atom
Formation energy from the elements   53 meV per atom
Symmetry   P4/mbm, No. 127